## PuMgCoO6 (PBE+U)

Data for a relaxed PuMgCoO6 crystal.

Cell lengths 5.0391, 5.0391, 9.3127 Å; angles 90.00, 90.00, 120.00 degrees
Positions (direct):
1 Pu 0.6667 0.3333 0.2500
2 Pu 0.3333 0.6667 0.7500
3 Mg 0.0000 0.0000 0.0000
4 Mg 0.0000 0.0000 0.5000
5 Co 0.3333 0.6667 0.2500
6 Co 0.6667 0.3333 0.7500
7 O 0.6471 0.6618 0.1339
8 O 0.0147 0.3529 0.1339
9 O 0.3529 0.0147 0.6339
10 O 0.9853 0.6471 0.8661
11 O 0.3382 0.3529 0.3661
12 O 0.0147 0.6618 0.3661
13 O 0.6618 0.0147 0.8661
14 O 0.6471 0.9853 0.3661
15 O 0.9853 0.3382 0.6339
16 O 0.3382 0.9853 0.1339
17 O 0.6618 0.6471 0.6339
18 O 0.3529 0.3382 0.8661

Properties
V (Å³/atom): 11.4
Total magnetization (Bohr magnetons per cell): 1.993
VASP energy (eV per atom): -7.61